Record 1
This record from OQMD describes an optimized crystal structure of ReSnO3. The functional is PBE.

Results
Symmetry: P4mm, No. 99

POSCAR file:
```
ReSnO3
1.0
4.003 0.000 0.000
0.000 4.003 0.000
0.000 0.000 3.959
Re Sn O
1 1 3
Direct
0.000 0.000 0.000 Re
0.500 0.500 0.411 Sn
0.000 0.000 0.505 O
0.000 0.500 0.028 O
0.500 0.000 0.028 O
```

Record 2
This record from OQMD describes an optimized crystal structure of Tm3Si4Tc2. The functional is PBE.

Results
Symmetry: C2/m, No. 12

POSCAR file:
```
Tm3Si4Tc2
1.0
5.284 -2.083 0.000
5.284 2.083 0.000
-2.718 0.000 7.587
Tm Si Tc
3 4 2
Direct
0.000 0.000 0.000 Tm
0.376 0.376 0.303 Tm
0.624 0.624 0.697 Tm
0.096 0.096 0.418 Si
0.285 0.285 0.927 Si
0.715 0.715 0.073 Si
0.904 0.904 0.582 Si
0.322 0.322 0.650 Tc
0.678 0.678 0.350 Tc
```

| no. | final energy (eV per atom) |
| --- | --- |
| 1 | -7.29 |
| 2 | -6.92 |